Entry 1:
! In2BrF | Alexandria via LeMat-Bulk | PBE | optimized geometry; values from VASP
! * E: -13.29 eV/cell
! * E above lowest polymorph: 6.79 kJ/mol of atoms
! * ΔE_f (raw): -1.0676 eV per atom
&SYSTEM
  ibrav = 0, nat = 4, ntyp = 3
/
ATOMIC_SPECIES
In 114.82 In.upf
Br 79.90 Br.upf
F 19.00 F.upf
CELL_PARAMETERS angstrom
2.0761 1.1986 7.6997
-2.0761 1.1986 7.6997
0.0000 -2.3973 7.6997
ATOMIC_POSITIONS crystal
In 0.0000 0.0000 0.0000
In 0.1992 0.1992 0.1992
Br 0.4471 0.4471 0.4471
F 0.6210 0.6210 0.6210

Entry 2:
! Er6C3Se | Alexandria via LeMat-Bulk | PBE | optimized geometry; values from VASP
! * E: -129.15 eV/cell
! * ΔE_f (raw): -0.6040 eV per atom
&SYSTEM
  ibrav = 0, nat = 20, ntyp = 3
/
ATOMIC_SPECIES
Er 167.26 Er.upf
C 12.01 C.upf
Se 78.96 Se.upf
CELL_PARAMETERS angstrom
10.0496 0.0000 0.0000
0.0000 3.6069 0.0000
-4.7770 0.0000 11.5747
ATOMIC_POSITIONS crystal
Er 0.0099 0.2500 0.2488
Er 0.1386 0.7500 0.5791
Er 0.1796 0.7500 0.0949
Er 0.3149 0.7500 0.3849
Er 0.3471 0.2500 0.9332
Er 0.4784 0.2500 0.2210
Er 0.5216 0.7500 0.7790
Er 0.6529 0.7500 0.0668
Er 0.6851 0.2500 0.6151
Er 0.8204 0.2500 0.9051
Er 0.8614 0.2500 0.4209
Er 0.9901 0.7500 0.7512
C 0.0069 0.7500 0.3781
C 0.2468 0.2500 0.2441
C 0.4142 0.7500 0.0779
C 0.5858 0.2500 0.9221
C 0.7532 0.7500 0.7559
C 0.9931 0.2500 0.6219
Se 0.3806 0.2500 0.5832
Se 0.6194 0.7500 0.4168

Entry 3:
! Na3BPb | Alexandria via LeMat-Bulk | PBE | optimized geometry; values from VASP
! * E: -8.49 eV/cell
! * E above lowest polymorph: 45.07 kJ/mol of atoms
! * formation enthalpy at 0 K: 1.170 eV/atom
&SYSTEM
  ibrav = 0, nat = 5, ntyp = 3
/
ATOMIC_SPECIES
Na 22.99 Na.upf
B 10.81 B.upf
Pb 207.20 Pb.upf
CELL_PARAMETERS angstrom
5.8711 0.0000 0.0000
0.0000 5.8711 0.0000
0.0000 0.0000 5.8711
ATOMIC_POSITIONS crystal
Na 0.0000 0.0000 0.5000
Na 0.0000 0.5000 0.0000
Na 0.5000 0.0000 0.0000
B 0.5000 0.5000 0.5000
Pb 0.0000 0.0000 0.0000

Entry 4:
! MoOsRh2 | Alexandria via LeMat-Bulk | PBE | optimized geometry; values from VASP
! * E: -36.93 eV/cell
! * E above lowest polymorph: 14.24 kJ/mol of atoms
! * formation enthalpy at 0 K: -0.041 eV/atom
&SYSTEM
  ibrav = 0, nat = 4, ntyp = 3
/
ATOMIC_SPECIES
Mo 95.94 Mo.upf
Os 190.23 Os.upf
Rh 102.91 Rh.upf
CELL_PARAMETERS angstrom
2.7103 0.0000 0.0000
0.0000 3.9441 0.0000
0.0000 0.0000 5.4385
ATOMIC_POSITIONS crystal
Mo 0.0000 0.0000 0.0000
Os 0.0000 0.0000 0.5000
Rh 0.5000 0.5000 0.2551
Rh 0.5000 0.5000 0.7449

Entry 5:
! CaMgAu3 | Alexandria via LeMat-Bulk | PBE | optimized geometry; values from VASP
! * E: -14.68 eV/cell
! * E above lowest polymorph: 36.23 kJ/mol of atoms
! * formation enthalpy at 0 K: -0.250 eV/atom
&SYSTEM
  ibrav = 0, nat = 5, ntyp = 3
/
ATOMIC_SPECIES
Ca 40.08 Ca.upf
Mg 24.30 Mg.upf
Au 196.97 Au.upf
CELL_PARAMETERS angstrom
4.9991 0.0000 0.0000
0.0000 4.9991 0.0000
0.0000 0.0000 4.9991
ATOMIC_POSITIONS crystal
Ca 0.0000 0.0000 0.0000
Mg 0.5000 0.5000 0.5000
Au 0.0000 0.5000 0.5000
Au 0.5000 0.0000 0.5000
Au 0.5000 0.5000 0.0000

Entry 6:
! AcPrSm2Ho | Alexandria via LeMat-Bulk | PBE | optimized geometry; values from VASP
! * E: -42.37 eV/cell
! * formation enthalpy at 0 K: 0.344 eV/atom
&SYSTEM
  ibrav = 0, nat = 10, ntyp = 4
/
ATOMIC_SPECIES
Ac 227.00 Ac.upf
Pr 140.91 Pr.upf
Sm 150.36 Sm.upf
Ho 164.93 Ho.upf
CELL_PARAMETERS angstrom
4.1796 -6.1264 0.0000
4.1796 6.1264 0.0000
0.0000 0.0000 7.3704
ATOMIC_POSITIONS crystal
Ac 0.2434 0.7566 0.7500
Ac 0.7566 0.2434 0.2500
Pr 0.0601 0.9399 0.2500
Pr 0.9399 0.0601 0.7500
Sm 0.3055 0.3055 0.0000
Sm 0.3055 0.3055 0.5000
Sm 0.6945 0.6945 0.0000
Sm 0.6945 0.6945 0.5000
Ho 0.3089 0.6911 0.2500
Ho 0.6911 0.3089 0.7500

Entry 7:
! Na3PPt | Alexandria via LeMat-Bulk | PBE | optimized geometry; values from VASP
! * E: -13.19 eV/cell
! * E above lowest polymorph: 65.86 kJ/mol of atoms
! * formation enthalpy at 0 K: 0.444 eV/atom
&SYSTEM
  ibrav = 0, nat = 5, ntyp = 3
/
ATOMIC_SPECIES
Na 22.99 Na.upf
P 30.97 P.upf
Pt 195.08 Pt.upf
CELL_PARAMETERS angstrom
5.3925 0.0000 0.0000
0.0000 5.3925 0.0000
0.0000 0.0000 5.3925
ATOMIC_POSITIONS crystal
Na 0.0000 0.0000 0.5000
Na 0.0000 0.5000 0.0000
Na 0.5000 0.0000 0.0000
P 0.5000 0.5000 0.5000
Pt 0.0000 0.0000 0.0000

Entry 8:
! Tb9Sm2Dy3 | Alexandria via LeMat-Bulk | PBE | optimized geometry; values from VASP
! * E: -63.28 eV/cell
! * formation enthalpy at 0 K: 0.117 eV/atom
&SYSTEM
  ibrav = 0, nat = 14, ntyp = 3
/
ATOMIC_SPECIES
Tb 158.93 Tb.upf
Sm 150.36 Sm.upf
Dy 162.50 Dy.upf
CELL_PARAMETERS angstrom
6.2239 0.0000 0.0000
0.4710 8.7549 0.0000
1.8732 1.5681 8.4241
ATOMIC_POSITIONS crystal
Tb 0.0000 0.0000 0.0000
Tb 0.0896 0.3143 0.6935
Tb 0.1865 0.6186 0.8957
Tb 0.3481 0.6662 0.4925
Tb 0.4903 0.2507 0.9183
Tb 0.5097 0.7493 0.0817
Tb 0.6519 0.3338 0.5075
Tb 0.8135 0.3814 0.1043
Tb 0.9104 0.6857 0.3065
Sm 0.4548 0.9703 0.7029
Sm 0.5452 0.0297 0.2971
Dy 0.0000 0.0000 0.5000
Dy 0.2553 0.3807 0.2754
Dy 0.7447 0.6193 0.7246

Entry 9:
! CaLa2CdHg4 | Alexandria via LeMat-Bulk | PBE | optimized geometry; values from VASP
! * E: -18.01 eV/cell
! * formation enthalpy at 0 K: -0.504 eV/atom
&SYSTEM
  ibrav = 0, nat = 8, ntyp = 4
/
ATOMIC_SPECIES
Ca 40.08 Ca.upf
La 138.91 La.upf
Cd 112.41 Cd.upf
Hg 200.59 Hg.upf
CELL_PARAMETERS angstrom
2.6725 1.5430 8.8171
-2.6725 1.5430 8.8171
0.0000 -3.0859 8.8171
ATOMIC_POSITIONS crystal
Ca 0.0000 0.0000 0.0000
La 0.2444 0.2444 0.2444
La 0.7556 0.7556 0.7556
Cd 0.5000 0.5000 0.5000
Hg 0.1224 0.1224 0.1224
Hg 0.3711 0.3711 0.3711
Hg 0.6289 0.6289 0.6289
Hg 0.8776 0.8776 0.8776